Record 1
The following is a PBE calculation of a relaxed NaPrBi2 crystal, from OQMD.

Cell and atoms, written as POSCAR:
```
NaPrBi2
1.0
4.570 0.000 0.000
0.000 4.570 0.000
0.000 0.000 11.770
Na Pr Bi
2 2 4
direct
0.250 0.750 0.000 Na
0.750 0.250 0.000 Na
0.250 0.250 0.280 Pr
0.750 0.750 0.720 Pr
0.250 0.250 0.804 Bi
0.250 0.750 0.500 Bi
0.750 0.250 0.500 Bi
0.750 0.750 0.196 Bi
```

Electronic total energy   -4.138 eV/atom

---

Record 2
The following is a PBE calculation of a relaxed AlNiTe2 crystal, from OQMD.

Cell and atoms, written as POSCAR:
```
AlNiTe2
1.0
6.963 0.000 0.000
0.000 6.963 0.000
0.000 0.000 6.963
Al Ni Te
4 4 8
direct
0.000 0.000 0.000 Al
0.000 0.500 0.500 Al
0.500 0.000 0.500 Al
0.500 0.500 0.000 Al
0.250 0.250 0.750 Ni
0.250 0.750 0.250 Ni
0.750 0.250 0.250 Ni
0.750 0.750 0.750 Ni
0.000 0.000 0.500 Te
0.000 0.500 0.000 Te
0.250 0.250 0.250 Te
0.250 0.750 0.750 Te
0.500 0.000 0.000 Te
0.500 0.500 0.500 Te
0.750 0.250 0.750 Te
0.750 0.750 0.250 Te
```

Electronic total energy   -3.385 eV/atom

---

Record 3
The following is a PBE calculation of a relaxed Cu2Ag3 crystal, from OQMD.

Cell and atoms, written as POSCAR:
```
Cu2Ag3
1.0
2.832 0.000 0.000
-1.416 2.452 0.000
0.000 0.000 33.833
Cu Ag
6 9
direct
0.000 0.000 0.195 Cu
0.000 0.000 0.805 Cu
0.333 0.667 0.472 Cu
0.333 0.667 0.862 Cu
0.667 0.333 0.138 Cu
0.667 0.333 0.528 Cu
0.000 0.000 0.000 Ag
0.000 0.000 0.407 Ag
0.000 0.000 0.593 Ag
0.333 0.667 0.073 Ag
0.333 0.667 0.260 Ag
0.333 0.667 0.667 Ag
0.667 0.333 0.333 Ag
0.667 0.333 0.740 Ag
0.667 0.333 0.927 Ag
```

Electronic total energy   -3.099 eV/atom
Energy of formation from the pure elements   39.7 kJ/mol of formula units

---

Record 4
The following is a PBE calculation of a relaxed NbAlAu crystal, from OQMD.

Cell and atoms, written as POSCAR:
```
NbAlAu
1.0
6.199 0.000 0.000
0.000 6.199 0.000
0.000 0.000 6.199
Nb Al Au
4 4 4
direct
0.000 0.000 0.000 Nb
0.000 0.500 0.500 Nb
0.500 0.000 0.500 Nb
0.500 0.500 0.000 Nb
0.000 0.000 0.500 Al
0.000 0.500 0.000 Al
0.500 0.000 0.000 Al
0.500 0.500 0.500 Al
0.250 0.250 0.750 Au
0.250 0.750 0.250 Au
0.750 0.250 0.250 Au
0.750 0.750 0.750 Au
```

Electronic total energy   -5.640 eV/atom

---

Record 5
The following is a PBE calculation of a relaxed Y3Mg3Ga2Ag crystal, from OQMD.

Cell and atoms, written as POSCAR:
```
Y3Mg3Ga2Ag
1.0
7.402 0.000 0.000
-3.701 6.411 0.000
0.000 0.000 4.338
Y Mg Ga Ag
3 3 2 1
direct
0.000 0.579 0.000 Y
0.421 0.421 0.000 Y
0.579 0.000 0.000 Y
0.000 0.246 0.500 Mg
0.246 0.000 0.500 Mg
0.754 0.754 0.500 Mg
0.333 0.667 0.500 Ga
0.667 0.333 0.500 Ga
0.000 0.000 0.000 Ag
```

Electronic total energy   -4.134 eV/atom

---

Record 6
The following is a PBE calculation of a relaxed AcFeCo crystal, from OQMD.

Cell and atoms, written as POSCAR:
```
AcFeCo
1.0
6.397 0.000 0.000
0.000 6.397 0.000
0.000 0.000 6.397
Ac Fe Co
4 4 4
direct
0.000 0.000 0.000 Ac
0.000 0.500 0.500 Ac
0.500 0.000 0.500 Ac
0.500 0.500 0.000 Ac
0.250 0.250 0.250 Fe
0.250 0.750 0.750 Fe
0.750 0.250 0.750 Fe
0.750 0.750 0.250 Fe
0.000 0.000 0.500 Co
0.000 0.500 0.000 Co
0.500 0.000 0.000 Co
0.500 0.500 0.500 Co
```

Electronic total energy   -5.890 eV/atom
Energy of formation from the pure elements   178.6 kJ/mol of formula units

---

Record 7
The following is a PBE calculation of a relaxed CoBiPdPt crystal, from OQMD.

Cell and atoms, written as POSCAR:
```
CoBiPdPt
1.0
6.477 0.000 0.000
0.000 6.477 0.000
0.000 0.000 6.477
Co Bi Pd Pt
4 4 4 4
direct
0.000 0.000 0.000 Co
0.000 0.500 0.500 Co
0.500 0.000 0.500 Co
0.500 0.500 0.000 Co
0.250 0.250 0.750 Bi
0.250 0.750 0.250 Bi
0.750 0.250 0.250 Bi
0.750 0.750 0.750 Bi
0.000 0.000 0.500 Pd
0.000 0.500 0.000 Pd
0.500 0.000 0.000 Pd
0.500 0.500 0.500 Pd
0.250 0.250 0.250 Pt
0.250 0.750 0.750 Pt
0.750 0.250 0.750 Pt
0.750 0.750 0.250 Pt
```

Electronic total energy   -5.492 eV/atom

---

Record 8
The following is a PBE calculation of a relaxed NpTaSi crystal, from OQMD.

Cell and atoms, written as POSCAR:
```
NpTaSi
1.0
6.323 0.000 0.000
0.000 6.323 0.000
0.000 0.000 6.323
Np Ta Si
4 4 4
direct
0.000 0.000 0.000 Np
0.000 0.500 0.500 Np
0.500 0.000 0.500 Np
0.500 0.500 0.000 Np
0.000 0.000 0.500 Ta
0.000 0.500 0.000 Ta
0.500 0.000 0.000 Ta
0.500 0.500 0.500 Ta
0.250 0.250 0.250 Si
0.250 0.750 0.750 Si
0.750 0.250 0.750 Si
0.750 0.750 0.250 Si
```

Electronic total energy   -9.707 eV/atom

---

Record 9
The following is a PBE calculation of a relaxed Na4AlInHg2 crystal, from OQMD.

Cell and atoms, written as POSCAR:
```
Na4AlInHg2
1.0
5.034 0.000 0.000
0.000 5.034 0.000
0.000 0.000 7.210
Na Al In Hg
4 1 1 2
direct
0.000 0.000 0.000 Na
0.000 0.500 0.242 Na
0.500 0.000 0.758 Na
0.500 0.500 0.500 Na
0.500 0.500 0.000 Al
0.000 0.000 0.500 In
0.000 0.500 0.770 Hg
0.500 0.000 0.230 Hg
```

Electronic total energy   -1.643 eV/atom

---

Record 10
The following is a PBE calculation of a relaxed GaCu9 crystal, from OQMD.

Cell and atoms, written as POSCAR:
```
GaCu9
1.0
2.563 0.000 0.000
0.000 2.563 0.000
0.000 0.000 48.464
Ga Cu
2 18
direct
0.250 0.250 0.141 Ga
0.750 0.750 0.859 Ga
0.250 0.250 0.223 Cu
0.250 0.250 0.298 Cu
0.250 0.250 0.372 Cu
0.250 0.250 0.445 Cu
0.250 0.250 0.518 Cu
0.250 0.250 0.591 Cu
0.250 0.250 0.665 Cu
0.250 0.250 0.740 Cu
0.250 0.250 0.815 Cu
0.750 0.750 0.185 Cu
0.750 0.750 0.260 Cu
0.750 0.750 0.335 Cu
0.750 0.750 0.409 Cu
0.750 0.750 0.482 Cu
0.750 0.750 0.555 Cu
0.750 0.750 0.628 Cu
0.750 0.750 0.702 Cu
0.750 0.750 0.777 Cu
```

Electronic total energy   -3.618 eV/atom

---

Record 11
The following is a PBE calculation of a relaxed Dy2LuGe4Pd4 crystal, from OQMD.

Cell and atoms, written as POSCAR:
```
Dy2LuGe4Pd4
1.0
-2.093 3.537 6.986
2.093 -3.537 6.986
2.093 3.537 -6.986
Dy Lu Ge Pd
2 1 4 4
direct
0.126 0.126 0.000 Dy
0.874 0.874 0.000 Dy
0.500 0.000 0.500 Lu
0.190 0.500 0.690 Ge
0.283 0.783 0.500 Ge
0.717 0.217 0.500 Ge
0.810 0.500 0.310 Ge
0.125 0.325 0.800 Pd
0.474 0.675 0.800 Pd
0.526 0.325 0.200 Pd
0.875 0.675 0.200 Pd
```

Electronic total energy   -5.692 eV/atom

---

Record 12
The following is a PBE calculation of a relaxed Ga3Co3Ni2 crystal, from OQMD.

Cell and atoms, written as POSCAR:
```
Ga3Co3Ni2
1.0
4.989 0.000 0.000
0.000 4.153 0.000
-2.093 0.000 4.587
Ga Co Ni
3 3 2
direct
0.000 0.000 0.000 Ga
0.229 0.500 0.764 Ga
0.528 0.000 0.485 Ga
0.234 0.500 0.266 Co
0.511 0.000 0.999 Co
0.737 0.500 0.264 Co
0.029 0.000 0.492 Ni
0.723 0.500 0.768 Ni
```

Electronic total energy   -5.401 eV/atom